No. 1
The following is a GGA-PBE calculation of an optimized crystal structure of Li2HSO, from Alexandria.

## Properties
Mass density   2.03 Mg/m³
Total DFT energy (no corrections)   -4.40 eV/atom

Unit cell a=4.3061 b=4.3060 c=2.7744 alpha=90.00 beta=90.00 gamma=90.00
Closest atoms and distances in Å follow each position.
Atoms (fractional coordinates):
Li (0.0000, 0.5000, 0.0074)  2 O 2.16
Li (0.5000, 0.0000, 0.0074)  2 O 2.16
H (0.0000, 0.0000, 0.4110)  1 O 0.99
O (0.0000, 0.0000, 0.0556)  1 H 0.99
S (0.5000, 0.5000, 0.5186)  8 Li 2.54-2.58, 2 S 2.77

No. 2
The following is a GGA-PBE calculation of an optimized crystal structure of Li2HSeO, from Alexandria.

## Properties
Mass density   2.86 Mg/m³
Total DFT energy (no corrections)   -4.34 eV/atom

Unit cell a=4.0078 b=2.9774 c=5.3469 alpha=90.00 beta=90.00 gamma=90.00
Closest atoms and distances in Å follow each position.
Atoms (fractional coordinates):
H (0.0000, 0.0000, 0.2819)  1 O 0.98
Se (0.5000, 0.5000, 0.5855)  4 Li 2.58-2.79
Li (0.0000, 0.5000, 0.8902)  2 O 1.86
Li (0.5000, 0.0000, 0.1432)  2 O 2.02, 2 H 2.14
O (0.0000, 0.0000, 0.0992)  1 H 0.98